A plane-wave DFT calculation with meta-GGA SCAN was carried out for a PBEsol-optimized structure of Ca2AsW.

a b c (Å): 4.3265 4.3265 8.8563
angles (deg): 90.00 90.00 90.00
Space group I-4m2 (No. 119)
Asymmetric unit:
Ca (0.0000, 0.0000, 0.0000) [2 per cell]
Ca (0.0000, 0.5000, 0.2500) [2 per cell]
As (0.0000, 0.5000, 0.7500) [2 per cell]
W (0.0000, 0.0000, 0.5000) [2 per cell]

Results
The total energy comes out at -26.732 eV per atom.

A plane-wave DFT calculation with meta-GGA SCAN was carried out for a PBEsol-optimized structure of ZrHgW.

a b c (Å): 3.1885 3.7734 9.3858
angles (deg): 90.00 90.00 90.00
Space group Imm2 (No. 44)
Asymmetric unit:
Zr (0.0000, 0.0000, 0.0000) [2 per cell]
Hg (0.0000, 0.0000, 0.6790) [2 per cell]
W (0.0000, 0.0000, 0.3423) [2 per cell]

Results
The offset from the most stable computed form comes out at 0.072 eV per atom.